SrHgSe | GGA-PBE | relaxed

a = 4.404 Å, b = 4.404 Å, c = 9.626 Å
α = 90.00°, β = 90.00°, γ = 90.00°
Fractional positions:
Hg  0.000  0.500  0.021
Sr  0.500  0.000  0.335
Hg  0.500  0.000  0.979
Sr  0.000  0.500  0.665
Se  0.500  0.000  0.660
Se  0.000  0.500  0.340

Values from the calculation:
* total DFT energy (no corrections): -3.10 eV per atom
* energy relative to the elements, uncorrected: -1280 meV per atom
* spin magnetization: 0.0 Bohr magnetons per cell
* density of states at the Fermi level: 0.17 states/eV per atom
* energy above the lowest structure with this stoichiometry: 0 meV/atom
* symmetry: P4/nmm (129)